VASP calculation (PBE) on an optimized crystal structure of EuLuSiHg.

Cell lengths 5.165, 5.165, 5.165 Å; angles 60.00, 60.00, 60.00 degrees
Fractional coordinates of all 4 atoms:
Eu  0.000  0.000  0.000
Lu  0.500  0.500  0.500
Si  0.750  0.750  0.750
Hg  0.250  0.250  0.250

## Properties
- formation energy (no corrections) (eV/atom) = -0.4066
- DOS(E_F) (states/eV/atom) = 0.77